Record 1
DFT (PBE-GGA) results for crystalline CaAcPdI at its relaxed geometry.

Properties
Its energy relative to the elements, uncorrected is -0.9610 eV per atom.

Unit cell a=4.3252 b=4.3252 c=25.1737 alpha=90.00 beta=90.00 gamma=120.00
Last column: nearest neighbours and their distance in Å.
Space group R3m (No. 160, hexagonal axes)
Inequivalent atoms, fractional coordinates:
1 Ca 0.0000 0.0000 0.0000 [3 per cell]  3 Pd 2.97
2 Ac 0.0000 0.0000 0.7957 [3 per cell]  3 Pd 2.99
3 Pd 0.0000 0.0000 0.3970 [3 per cell]  3 Ca 2.97, 3 Ac 2.99
4 I 0.0000 0.0000 0.5715 [3 per cell]  3 Ca 3.46, 3 Ac 3.71

***

Record 2
DFT (PBE-GGA) results for crystalline BaIn2Bi at its relaxed geometry.

Properties
The density of states at the Fermi level comes out at 9.6 states/eV per cell. The calculation puts the energy of formation from the pure elements at -0.328 eV/atom.

Unit cell a=5.3319 b=5.3319 c=17.3292 alpha=90.00 beta=90.00 gamma=120.00
Last column: nearest neighbours and their distance in Å.
Space group R-3m (No. 166, hexagonal axes)
Inequivalent atoms, fractional coordinates:
1 Ba 0.0000 0.0000 0.0000 [3 per cell]  8 In 3.61-3.90
2 In 0.0000 0.0000 0.2250 [6 per cell]  3 Bi 3.24, 3 Ba 3.61
3 Bi 0.0000 0.0000 0.5000 [3 per cell]  6 In 3.24

***

Record 3
DFT (PBE-GGA) results for crystalline Ag2SnPd2 at its relaxed geometry.

Properties
The density of states at the Fermi level comes out at 4.6 states/eV per cell. The calculation puts the energy of formation from the pure elements at 0.157 eV/atom.

Unit cell a=3.8419 b=3.8419 c=13.4617 alpha=90.00 beta=90.00 gamma=90.00
Last column: nearest neighbours and their distance in Å.
Space group I4/mmm (No. 139)
Inequivalent atoms, fractional coordinates:
1 Ag 0.0000 0.0000 0.1022 [4 per cell]  1 Ag 2.75, 4 Pd 2.77, 4 Sn 3.05
2 Sn 0.0000 0.0000 0.5000 [2 per cell]  8 Ag 3.05
3 Pd 0.0000 0.5000 0.2500 [4 per cell]  4 Pd 2.72, 4 Ag 2.77

***

Record 4
DFT (PBE-GGA) results for crystalline HfMoP3 at its relaxed geometry.

Properties
The density of states at the Fermi level comes out at 11.5 states/eV per cell. The calculation puts the energy of formation from the pure elements at 1.127 eV/atom.

Unit cell a=4.8507 b=4.8507 c=4.8507 alpha=90.00 beta=90.00 gamma=90.00
Last column: nearest neighbours and their distance in Å.
Space group Pm-3m (No. 221)
Inequivalent atoms, fractional coordinates:
1 Hf 0.0000 0.0000 0.0000 [1 per cell]  6 P 2.43
2 Mo 0.5000 0.5000 0.5000 [1 per cell]  12 P 3.43
3 P 0.0000 0.0000 0.5000 [3 per cell]  2 Hf 2.43

***

Record 5
DFT (PBE-GGA) results for crystalline Ho5In4Sn at its relaxed geometry.

Properties
The density of states at the Fermi level comes out at 5.7 states/eV per cell. The calculation puts the energy of formation from the pure elements at -0.478 eV/atom.

Unit cell a=3.5681 b=3.5681 c=20.6402 alpha=90.00 beta=90.00 gamma=90.00
Last column: nearest neighbours and their distance in Å.
Space group P4/mmm (No. 123)
Inequivalent atoms, fractional coordinates:
1 Ho 0.0000 0.0000 0.0000 [1 per cell]  8 In 3.25, 4 Ho 3.57
2 Ho 0.0000 0.0000 0.1995 [2 per cell]  8 In 3.25-3.26, 4 Ho 3.57
3 Ho 0.0000 0.0000 0.3997 [2 per cell]  4 Sn 3.26, 4 In 3.27, 4 Ho 3.57
4 In 0.5000 0.5000 0.0996 [2 per cell]  8 Ho 3.25-3.26, 4 In 3.57
5 In 0.5000 0.5000 0.2987 [2 per cell]  8 Ho 3.25-3.27, 4 In 3.57
6 Sn 0.5000 0.5000 0.5000 [1 per cell]  8 Ho 3.26, 4 Sn 3.57

***

Record 6
DFT (PBE-GGA) results for crystalline ZrSc2Ni9 at its relaxed geometry.

Properties
The density of states at the Fermi level comes out at 45.4 states/eV per cell. The calculation puts the energy of formation from the pure elements at -0.435 eV/atom.

Unit cell a=4.8123 b=4.8123 c=23.8037 alpha=90.00 beta=90.00 gamma=120.00
Last column: nearest neighbours and their distance in Å.
Space group R-3m (No. 166, hexagonal axes)
Inequivalent atoms, fractional coordinates:
1 Zr 0.0000 0.0000 0.0000 [3 per cell]  6 Ni 2.78
2 Sc 0.0000 0.0000 0.1393 [6 per cell]  12 Ni 2.74-2.96, 3 Sc 3.07
3 Ni 0.0000 0.0000 0.3336 [6 per cell]  6 Ni 2.43
4 Ni 0.0000 0.0000 0.5000 [3 per cell]  6 Ni 2.42
5 Ni 0.0024 0.5012 0.9161 [18 per cell]  7 Ni 2.39-2.43

***

Record 7
DFT (PBE-GGA) results for crystalline Tb12SmY3 at its relaxed geometry.

Properties
The density of states at the Fermi level comes out at 21.7 states/eV per cell. The calculation puts the energy of formation from the pure elements at 0.018 eV/atom.

Unit cell a=5.0470 b=5.0470 c=20.1654 alpha=90.00 beta=90.00 gamma=90.00
Last column: nearest neighbours and their distance in Å.
Space group P4/mmm (No. 123)
Inequivalent atoms, fractional coordinates:
1 Tb 0.0000 0.0000 0.0000 [1 per cell]  8 Tb 3.57, 4 Y 3.57
2 Tb 0.0000 0.0000 0.2494 [2 per cell]  8 Tb 3.56-3.57, 4 Y 3.57
3 Tb 0.0000 0.0000 0.5000 [1 per cell]  4 Sm 3.57, 8 Tb 3.57
4 Tb 0.0000 0.5000 0.1249 [4 per cell]  8 Tb 3.56-3.57, 4 Y 3.56-3.57
5 Tb 0.0000 0.5000 0.3747 [4 per cell]  2 Y 3.57, 8 Tb 3.57, 2 Sm 3.57
6 Sm 0.5000 0.5000 0.5000 [1 per cell]  12 Tb 3.57
7 Y 0.5000 0.5000 0.0000 [1 per cell]  12 Tb 3.57
8 Y 0.5000 0.5000 0.2497 [2 per cell]  12 Tb 3.56-3.57

***

Record 8
DFT (PBE-GGA) results for crystalline RbHgTe2I at its relaxed geometry.

Properties
The density of states at the Fermi level comes out at 9.1 states/eV per cell. Its energy relative to the elements, uncorrected is -0.2282 eV per atom.

Unit cell a=5.6423 b=5.6423 c=6.7349 alpha=90.00 beta=90.00 gamma=90.00
Last column: nearest neighbours and their distance in Å.
Space group P4/mmm (No. 123)
Inequivalent atoms, fractional coordinates:
1 Rb 0.0000 0.0000 0.0000 [1 per cell]  4 I 3.99, 8 Te 4.39
2 Hg 0.5000 0.5000 0.5000 [1 per cell]  4 Te 2.82
3 Te 0.0000 0.5000 0.5000 [2 per cell]  2 Hg 2.82
4 I 0.5000 0.5000 0.0000 [1 per cell]  2 Hg 3.37

***

M_tot / μB/atom: 0.0000, 0.0000, 0.0000, 0.1022, 0.0000, 0.0000, 0.0000, 0.0892
Calculated volume / Å³/atom: 34.0, 35.6, 19.9, 22.8, 26.3, 13.3, 32.1, 42.9